# 1
A plane-wave DFT calculation with PBE was carried out for ZrCuReBi after structural relaxation. Values from VASP.

Quantum ESPRESSO input file:
```
&SYSTEM
  ibrav = 0, nat = 4, ntyp = 4
/
ATOMIC_SPECIES
Cu 63.55 Cu.upf
Zr 91.22 Zr.upf
Bi 208.98 Bi.upf
Re 186.21 Re.upf
CELL_PARAMETERS angstrom
-2.9298 -3.6471 0.1237
-0.6699 -2.3285 4.0037
-4.0836 0.3547 2.2580
ATOMIC_POSITIONS crystal
Cu 0.5000 0.5000 0.5000
Zr 0.2500 0.2500 0.2500
Bi 0.0000 0.0000 0.0000
Re 0.7500 0.7500 0.7500
```

Calculated values
SG: F-43m, No. 216
total magnetic moment: 0.001 μB/atom
total energy: -26.95 eV per cell

---

# 2
A plane-wave DFT calculation with PBE was carried out for LiNiPbAu after structural relaxation. Values from VASP.

Quantum ESPRESSO input file:
```
&SYSTEM
  ibrav = 0, nat = 4, ntyp = 4
/
ATOMIC_SPECIES
Pb 207.20 Pb.upf
Au 196.97 Au.upf
Li 6.94 Li.upf
Ni 58.69 Ni.upf
CELL_PARAMETERS angstrom
0.8648 -4.0395 -1.8808
-0.6906 -3.8048 2.3769
-3.4227 -2.7719 -1.0976
ATOMIC_POSITIONS crystal
Pb 0.0000 0.0000 0.0000
Au 0.5000 0.5000 0.5000
Li 0.2500 0.2500 0.2500
Ni 0.7500 0.7500 0.7500
```

Calculated values
SG: F-43m, No. 216
total magnetic moment: 0.002 μB/atom
total energy: -15.15 eV per cell

---

# 3
A plane-wave DFT calculation with PBE was carried out for Li2Mg2In2AgPd after structural relaxation. Values from VASP.

Quantum ESPRESSO input file:
```
&SYSTEM
  ibrav = 0, nat = 8, ntyp = 5
/
ATOMIC_SPECIES
Li 6.94 Li.upf
In 114.82 In.upf
Mg 24.30 Mg.upf
Pd 106.42 Pd.upf
Ag 107.87 Ag.upf
CELL_PARAMETERS angstrom
-1.1378 1.8370 -4.1162
0.8403 -4.0844 -2.0551
-6.3101 -1.7769 0.9513
ATOMIC_POSITIONS crystal
Li 0.5000 0.5000 0.0000
In 0.5000 0.0000 0.7402
Mg 0.5000 0.0000 0.2615
Li 0.0000 0.0000 0.5000
In 0.0000 0.5000 0.2598
Pd 0.5000 0.5000 0.5000
Mg 0.0000 0.5000 0.7385
Ag 0.0000 0.0000 0.0000
```

Calculated values
SG: P-4m2, No. 115
total energy: -23.61 eV per cell

---

# 4
A plane-wave DFT calculation with PBE was carried out for Sm4TlOs after structural relaxation. Values from VASP.

Quantum ESPRESSO input file:
```
&SYSTEM
  ibrav = 0, nat = 12, ntyp = 3
/
ATOMIC_SPECIES
Sm 150.36 Sm.upf
Os 190.23 Os.upf
Tl 204.38 Tl.upf
CELL_PARAMETERS angstrom
4.4368 -6.6938 0.0000
4.4368 6.6938 0.0000
-1.8929 0.0000 5.9730
ATOMIC_POSITIONS crystal
Sm 0.9402 0.2782 0.5486
Sm 0.2022 0.3530 0.1082
Os 0.9999 0.0001 0.7500
Sm 0.3530 0.2022 0.6082
Os 0.0001 0.9999 0.2500
Tl 0.3762 0.6238 0.7500
Sm 0.2782 0.9402 0.0486
Sm 0.7218 0.0598 0.9514
Sm 0.0598 0.7218 0.4514
Sm 0.7978 0.6470 0.8918
Sm 0.6470 0.7978 0.3918
Tl 0.6238 0.3762 0.2500
```

Calculated values
SG: C2/c, No. 15
total magnetic moment: 0.002 μB/atom
total energy: -67.94 eV per cell

---

# 5
A plane-wave DFT calculation with PBE was carried out for TbPd3F5 after structural relaxation. Values from VASP.

Quantum ESPRESSO input file:
```
&SYSTEM
  ibrav = 0, nat = 9, ntyp = 3
/
ATOMIC_SPECIES
F 19.00 F.upf
Tb 158.93 Tb.upf
Pd 106.42 Pd.upf
CELL_PARAMETERS angstrom
4.9126 0.0000 0.0000
0.0000 5.9931 0.0000
-1.5185 0.0000 4.7290
ATOMIC_POSITIONS crystal
F 0.2325 0.2725 0.7359
F 0.2685 0.6780 0.2300
F 0.7315 0.6780 0.7700
Tb 0.5000 0.5126 0.0000
F 0.7675 0.2725 0.2641
Pd 0.0000 0.6087 0.5000
F 0.0000 0.9462 0.5000
Pd 0.5000 0.0942 0.5000
Pd 0.0000 0.0875 0.0000
```

Calculated values
SG: P2, No. 3
total magnetic moment: 0.225 μB/atom
total energy: -42.60 eV per cell

---

# 6
A plane-wave DFT calculation with PBE was carried out for ZnPdPt2 after structural relaxation. Values from VASP.

Quantum ESPRESSO input file:
```
&SYSTEM
  ibrav = 0, nat = 4, ntyp = 3
/
ATOMIC_SPECIES
Pd 106.42 Pd.upf
Zn 65.41 Zn.upf
Pt 195.08 Pt.upf
CELL_PARAMETERS angstrom
0.0000 3.1330 3.1330
3.1330 0.0000 3.1330
3.1330 3.1330 0.0000
ATOMIC_POSITIONS crystal
Pd 0.2500 0.2500 0.2500
Zn 0.5000 0.5000 0.5000
Pt 0.0000 0.0000 0.0000
Pt 0.7500 0.7500 0.7500
```

Calculated values
SG: F-43m, No. 216
total magnetic moment: 0.000 μB/atom
total energy: -19.52 eV per cell
ΔE_f: -23.3 kJ per mole of atoms

---

# 7
A plane-wave DFT calculation with PBE was carried out for ZrCoB4 after structural relaxation. Values from VASP.

Quantum ESPRESSO input file:
```
&SYSTEM
  ibrav = 0, nat = 6, ntyp = 3
/
ATOMIC_SPECIES
B 10.81 B.upf
Zr 91.22 Zr.upf
Co 58.93 Co.upf
CELL_PARAMETERS angstrom
-3.1902 1.6124 2.8622
-3.6431 -1.2415 -2.4811
3.4683 -1.8464 2.3518
ATOMIC_POSITIONS crystal
B 0.5740 0.2465 0.3274
Zr 0.5000 0.5000 0.0000
B 0.0809 0.7535 0.3274
Co 0.0000 0.0000 0.0000
B 0.9191 0.2465 0.6726
B 0.4260 0.7535 0.6726
```

Calculated values
SG: Immm, No. 71
total magnetic moment: 0.161 μB/atom
total energy: -44.46 eV per cell

---

# 8
A plane-wave DFT calculation with PBE was carried out for CsGdO3 after structural relaxation. Values from VASP.

Quantum ESPRESSO input file:
```
&SYSTEM
  ibrav = 0, nat = 10, ntyp = 3
/
ATOMIC_SPECIES
Cs 132.91 Cs.upf
O 16.00 O.upf
Gd 157.25 Gd.upf
CELL_PARAMETERS angstrom
3.2254 -1.8622 -5.2684
-3.2254 -1.8622 -5.2684
0.0000 3.7244 -5.2684
ATOMIC_POSITIONS crystal
Cs 0.2500 0.2500 0.2500
O 0.7500 0.2514 0.2486
O 0.2514 0.2486 0.7500
O 0.2486 0.7500 0.2514
O 0.2500 0.7486 0.7514
Gd 0.0000 0.0000 0.0000
Gd 0.5000 0.5000 0.5000
Cs 0.7500 0.7500 0.7500
O 0.7514 0.2500 0.7486
O 0.7486 0.7514 0.2500
```

Calculated values
SG: R-3c, No. 167
total magnetic moment: 0.400 μB/atom
total energy: -58.94 eV per cell

---

Question: Among the records above, which one has the highest total energy?
Answer: LiNiPbAu

---

Question: Among the records above, which one has the lowest total energy?
Answer: Sm4TlOs

---

Question: Which formula does entry 1 have?
Answer: ZrCuReBi